First-principles (GGA-PBE) data for a relaxed Tb4Te2PtSe crystal, as listed in Alexandria.

Unit cell a=4.151 b=7.445 c=7.530 alpha=108.67 beta=90.00 gamma=90.00
Sites, in units of the cell vectors:
Pt: 0.500 0.500 0.000
Se: 0.000 0.000 0.000
Tb: 0.500 0.752 0.776
Te: 0.500 0.000 0.500
Tb: 0.000 0.278 0.789
Tb: 0.000 0.722 0.211
Tb: 0.500 0.248 0.224
Te: 0.000 0.500 0.500

density of states at the Fermi level = 4.38 states/eV/f.u.
SG = P2/m (10)
formation energy from raw total energies = -1.436 eV per atom